Record 1
Entry from Alexandria via LeMat-Bulk: a geometry-optimized Rb2AcReO6 structure (PBE-GGA).

Values from the calculation:
The value obtained for the total magnetization is 0.00 μB/cell. Its crystal system is cubic. The uncorrected formation energy is -2.154 eV per atom. Its total energy is -6.98 eV per atom.

The structure in POSCAR format:
```
Rb2AcReO6
1.0
6.2283 0.0001 0.0003
0.0001 6.2284 0.0002
-3.1155 -3.1153 4.4037
Ac O Re Rb
1 6 1 2
Direct
0.4999 0.5004 0.9999
0.7830 0.7835 0.5662
0.2167 0.7836 0.9998
0.2168 0.2173 0.4334
0.2167 0.2171 0.9998
0.7830 0.7836 0.9997
0.7831 0.2172 0.9997
0.9999 0.0004 0.9998
0.7498 0.2505 0.4998
0.2500 0.7503 0.4999
```



Record 2
Entry from Alexandria via LeMat-Bulk: a geometry-optimized RbAcReO6 structure (PBE-GGA).

Values from the calculation:
The value obtained for the total magnetization is 1.01 μB/cell. Its crystal system is triclinic. The uncorrected formation energy is -1.964 eV per atom. Its total energy is -7.22 eV per atom.

The structure in POSCAR format:
```
RbAcReO6
1.0
-0.4626 5.0341 2.3110
-2.6495 0.2896 5.5190
4.0809 -0.4854 1.8830
O Rb Ac Re
6 1 1 1
Direct
0.0030 0.5105 0.2321
0.4769 0.0472 0.1726
0.1803 0.6361 0.6957
0.4877 0.5110 0.2344
0.1524 0.2121 0.6657
0.6343 0.2124 0.6671
0.0128 0.9751 0.1692
0.7074 0.5852 0.7497
0.3450 0.3106 0.4136
```



Record 3
Entry from Alexandria via LeMat-Bulk: a geometry-optimized RbAcRe2O7 structure (PBE-GGA).

Values from the calculation:
The value obtained for the total magnetization is 0.00 μB/cell. Its crystal system is tetragonal. The uncorrected formation energy is -1.953 eV per atom. Its total energy is -7.83 eV per atom.

The structure in POSCAR format:
```
RbAcRe2O7
1.0
-2.6927 -1.9442 -2.1933
1.7284 -3.4587 0.9439
-6.3694 -0.8446 8.5686
O Rb Re Ac
7 1 2 1
Direct
0.5000 0.5000 0.0000
0.0000 0.5000 0.8268
0.5000 0.0000 0.8268
0.5000 0.5000 0.3617
0.0000 0.5000 0.1732
0.5000 0.0000 0.1732
0.5000 0.5000 0.6383
0.0000 0.0000 0.5000
0.5000 0.5000 0.1942
0.5000 0.5000 0.8058
0.0000 0.0000 0.0000
```



Fermi-level density of states for the records above, in order: 0.000 0.040 0.463 states/eV/atom